No. 1
## PmCd4 (PBE-GGA)

Data for PmCd4 after structural relaxation.

Computed properties:
- M_tot: 0.000 Bohr magnetons per cell
- Offset from the most stable computed form: 44 meV/atom
- Crystal system: orthorhombic
- E_form: -0.97 eV per formula unit
- ρ: 7.84 g cm⁻³

Cell lengths 6.2321, 6.2442, 12.9527 Å; angles 90.00, 90.00, 90.00 degrees
Closest atoms and distances in Å follow each position.
Space group Fmmm (No. 69)
Unique sites:
Pm: 0.0000 0.0000 0.0000 (multiplicity 4)  8 Cd 3.40-3.41
Cd: 0.0000 0.0000 0.3947 (multiplicity 8)  5 Cd 2.73-2.89
Cd: 0.2500 0.2500 0.2500 (multiplicity 8)  8 Cd 2.89-3.12

=====

No. 2
## PmCd2 (PBE-GGA)

Data for PmCd2 after structural relaxation.

Computed properties:
- M_tot: 0.000 Bohr magnetons per cell
- Offset from the most stable computed form: 47 meV/atom
- Crystal system: cubic
- E_form: -0.89 eV per formula unit
- ρ: 8.11 g cm⁻³

Cell lengths 8.4599, 8.4599, 8.4599 Å; angles 90.00, 90.00, 90.00 degrees
Closest atoms and distances in Å follow each position.
Space group Fd-3m (No. 227, origin choice 2)
Unique sites:
Pm: 0.1250 0.1250 0.1250 (multiplicity 8)  12 Cd 3.51, 4 Pm 3.66
Cd: 0.0000 0.0000 0.5000 (multiplicity 16)  6 Cd 2.99

=====

No. 3
## Pm2Cd (PBE-GGA)

Data for Pm2Cd after structural relaxation.

Computed properties:
- M_tot: 0.063 Bohr magnetons per cell
- Offset from the most stable computed form: 0 meV/atom
- Crystal system: tetragonal
- E_form: -0.60 eV per formula unit
- ρ: 7.34 g cm⁻³

Cell lengths 3.7251, 3.7251, 13.1243 Å; angles 90.00, 90.00, 90.00 degrees
Closest atoms and distances in Å follow each position.
Space group I4/mmm (No. 139)
Unique sites:
Pm: 0.0000 0.0000 0.1550 (multiplicity 4)  4 Cd 3.33, 8 Pm 3.63-3.73
Cd: 0.0000 0.0000 0.5000 (multiplicity 2)  8 Pm 3.33, 4 Cd 3.73